Entry 1:
Density functional theory data (GGA+U) for a relaxed KNaCrF6 crystal.

E_tot	-5.0144	eV per atom
volume	301	Å³ per cell

abc: 5.7133 5.7133 10.6650
angles: 90.00 90.00 120.00
Closest atoms and distances in Å follow each position.
Fractional coordinates of all 18 atoms:
F: 0.4030 0.3421 0.3497  1 Cr 1.86
F: 0.0609 0.6579 0.8497  1 Cr 1.86
F: 0.4030 0.0609 0.1503  1 Cr 1.86
F: 0.3421 0.4030 0.8497  1 Cr 1.86
F: 0.5970 0.6579 0.6503  1 Cr 1.86
F: 0.6579 0.5970 0.1503  1 Cr 1.86
F: 0.3421 0.9391 0.6503  1 Cr 1.86
F: 0.9391 0.5970 0.3497  1 Cr 1.86
F: 0.5970 0.9391 0.8497  1 Cr 1.86
F: 0.0609 0.4030 0.6503  1 Cr 1.86
F: 0.9391 0.3421 0.1503  1 Cr 1.86
F: 0.6579 0.0609 0.3497  1 Cr 1.86
K: 0.0000 0.0000 0.5000  6 F 2.68
K: 0.0000 0.0000 0.0000  6 F 2.68
Na: 0.3333 0.6667 0.2500  6 F 2.34
Na: 0.6667 0.3333 0.7500  6 F 2.34
Cr: 0.6667 0.3333 0.2500  6 F 1.86
Cr: 0.3333 0.6667 0.7500  6 F 1.86



Entry 2:
Density functional theory data (GGA+U) for a relaxed K2CrNiF6 crystal.

E_tot	-4.8271	eV per atom
volume	295	Å³ per cell

abc: 6.0225 5.8781 8.3197
angles: 90.00 90.00 90.00
Closest atoms and distances in Å follow each position.
Fractional coordinates of all 20 atoms:
F: 0.5000 0.2500 0.2450  1 Ni 2.04, 1 Cr 2.12
F: 0.2622 0.0060 0.0000  1 Ni 2.03, 1 Cr 2.18
F: 0.7377 0.4944 0.0000  1 Ni 2.03, 1 Cr 2.18
F: 0.7623 0.5056 0.5000  1 Ni 2.03, 1 Cr 2.18
F: 0.2377 0.5056 0.5000  1 Ni 2.03, 1 Cr 2.18
F: 0.2378 0.9940 0.5000  1 Ni 2.03, 1 Cr 2.18
F: 0.0000 0.7500 0.7450  1 Ni 2.04, 1 Cr 2.12
F: 0.5000 0.2500 0.7550  1 Ni 2.04, 1 Cr 2.12
F: 0.2623 0.4944 0.0000  1 Ni 2.03, 1 Cr 2.18
F: 0.7622 0.9940 0.5000  1 Ni 2.03, 1 Cr 2.18
F: 0.0000 0.7500 0.2550  1 Ni 2.04, 1 Cr 2.12
F: 0.7378 0.0060 0.0000  1 Ni 2.03, 1 Cr 2.18
K: 0.0000 0.2500 0.2492  12 F 2.94-3.01
K: 0.0000 0.2500 0.7508  12 F 2.94-3.01
K: 0.5000 0.7500 0.7492  12 F 2.94-3.01
K: 0.5000 0.7500 0.2508  12 F 2.94-3.01
Ni: 0.5000 0.2502 0.0000  6 F 2.03-2.04
Ni: 0.0000 0.7498 0.5000  6 F 2.03-2.04
Cr: 0.0000 0.7501 0.0000  6 F 2.12-2.18
Cr: 0.5000 0.2499 0.5000  6 F 2.12-2.18



Entry 3:
Density functional theory data (GGA+U) for a relaxed K2CrNi3F12 crystal.

E_tot	-4.5914	eV per atom
volume	268	Å³ per cell

abc: 7.3235 7.3235 7.3235
angles: 58.47 58.47 58.47
Closest atoms and distances in Å follow each position.
Fractional coordinates of all 18 atoms:
F: 0.0730 0.6817 0.0730  1 Cr 1.92, 1 Ni 2.03
F: 0.6749 0.0758 0.6749  2 Ni 1.95
F: 0.0730 0.0730 0.6817  1 Cr 1.92, 1 Ni 2.03
F: 0.9242 0.3251 0.3251  2 Ni 1.95
F: 0.0758 0.6749 0.6749  2 Ni 1.95
F: 0.3251 0.3251 0.9242  2 Ni 1.95
F: 0.9270 0.3183 0.9270  1 Cr 1.92, 1 Ni 2.03
F: 0.3251 0.9242 0.3251  2 Ni 1.95
F: 0.6749 0.6749 0.0758  2 Ni 1.95
F: 0.9270 0.9270 0.3183  1 Cr 1.92, 1 Ni 2.03
F: 0.3183 0.9270 0.9270  1 Cr 1.92, 1 Ni 2.03
F: 0.6817 0.0730 0.0730  1 Cr 1.92, 1 Ni 2.03
K: 0.6148 0.6148 0.6148  6 F 2.96-3.20
K: 0.3852 0.3852 0.3852  6 F 2.96-3.20
Ni: 0.0000 0.0000 0.5000  6 F 1.95-2.03
Ni: 0.5000 0.0000 0.0000  6 F 1.95-2.03
Ni: 0.0000 0.5000 0.0000  6 F 1.95-2.03
Cr: 0.0000 0.0000 0.0000  6 F 1.92



Entry 4:
Density functional theory data (GGA+U) for a relaxed KCrO3F crystal.

E_tot	-5.9209	eV per atom
volume	208	Å³ per cell

abc: 5.6137 5.6113 7.6236
angles: 110.60 110.91 90.11
Closest atoms and distances in Å follow each position.
Fractional coordinates of all 12 atoms:
O: 0.8412 0.9768 0.1418  1 Cr 1.63
O: 0.9625 0.5823 0.3557  1 Cr 1.63
O: 0.4128 0.5835 0.6337  1 Cr 1.63
O: 0.4004 0.7720 0.3555  1 Cr 1.63
O: 0.0178 0.7113 0.8602  1 Cr 1.63
O: 0.8265 0.1464 0.8545  1 Cr 1.63
K: 0.5103 0.5033 0.0026  2 F 2.86-2.87, 6 O 2.86-2.99
K: 0.7571 0.2560 0.5033  6 O 2.85-2.98, 2 F 2.87
Cr: 0.2522 0.7386 0.4957  3 O 1.63, 1 F 1.80
Cr: 0.9885 0.9976 0.9975  3 O 1.63, 1 F 1.80
F: 0.3059 0.1782 0.1467  1 Cr 1.80
F: 0.2247 0.0540 0.6526  1 Cr 1.80



Entry 5:
Density functional theory data (GGA+U) for a relaxed KCrOF2 crystal.

E_tot	-4.0771	eV per atom
volume	101	Å³ per cell

abc: 4.6444 4.6444 4.6686
angles: 90.00 90.00 90.00
Closest atoms and distances in Å follow each position.
Fractional coordinates of all 5 atoms:
Cr: 0.5000 0.5000 0.5000  4 O 3.28, 8 F 3.29
K: 0.0000 0.0000 0.0000  4 F 2.32, 2 O 2.33
F: 0.0000 0.5000 0.0000  2 K 2.32
F: 0.5000 0.0000 0.0000  2 K 2.32
O: 0.0000 0.0000 0.5000  2 K 2.33



Entry 6:
Density functional theory data (GGA+U) for a relaxed KCrOF2 crystal.

E_tot	-5.7769	eV per atom
volume	65	Å³ per cell

abc: 4.0929 4.0929 3.8793
angles: 90.00 90.00 90.00
Closest atoms and distances in Å follow each position.
Fractional coordinates of all 5 atoms:
Cr: 0.0000 0.0000 0.0000  2 O 1.94, 4 F 2.05
K: 0.5000 0.5000 0.5000  8 F 2.82, 4 O 2.89
F: 0.0000 0.5000 0.0000  2 Cr 2.05
F: 0.5000 0.0000 0.0000  2 Cr 2.05
O: 0.0000 0.0000 0.5000  2 Cr 1.94



Entry 7:
Density functional theory data (GGA+U) for a relaxed KCrP2F crystal.

E_tot	-3.5477	eV per atom
volume	98	Å³ per cell

abc: 4.6642 4.4995 4.6642
angles: 90.00 90.00 90.00
Closest atoms and distances in Å follow each position.
Fractional coordinates of all 5 atoms:
F: 0.0000 0.0000 0.0000  2 K 2.25, 4 P 2.33
K: 0.0000 0.5000 0.0000  2 F 2.25
P: 0.0000 0.0000 0.5000  2 F 2.33
P: 0.5000 0.0000 0.0000  2 F 2.33
Cr: 0.5000 0.5000 0.5000  8 P 3.24, 4 K 3.30



Entry 8:
Density functional theory data (GGA+U) for a relaxed K3Cr2PbF9 crystal.

E_tot	-5.1435	eV per atom
volume	259	Å³ per cell

abc: 6.1156 6.1156 8.0053
angles: 90.00 90.00 120.00
Closest atoms and distances in Å follow each position.
Fractional coordinates of all 15 atoms:
F: 0.8282 0.1718 0.7005  1 Cr 2.09
F: 0.5000 0.0000 0.0000  2 Cr 2.14
F: 0.3435 0.1718 0.7005  1 Cr 2.09
F: 0.0000 0.5000 0.0000  2 Cr 2.14
F: 0.8282 0.6565 0.7005  1 Cr 2.09
F: 0.1718 0.3435 0.2995  1 Cr 2.09
F: 0.6565 0.8282 0.2995  1 Cr 2.09
F: 0.1718 0.8282 0.2995  1 Cr 2.09
F: 0.5000 0.5000 0.0000  2 Cr 2.14
K: 0.3333 0.6667 0.7174  9 F 2.87-3.06
K: 0.6667 0.3333 0.2826  9 F 2.87-3.06
K: 0.0000 0.0000 0.0000  12 F 3.01-3.06
Pb: 0.0000 0.0000 0.5000  6 F 2.43
Cr: 0.6667 0.3333 0.8497  6 F 2.09-2.14
Cr: 0.3333 0.6667 0.1503  6 F 2.09-2.14



Entry 9:
Density functional theory data (GGA+U) for a relaxed K2CrPbF8 crystal.

E_tot	-4.8911	eV per atom
volume	207	Å³ per cell

abc: 4.5167 6.0322 7.6335
angles: 89.51 90.36 96.08
Closest atoms and distances in Å follow each position.
Fractional coordinates of all 12 atoms:
F: 0.3526 0.1771 0.9992  1 Cr 1.82
F: 0.8969 0.1865 0.1888  1 Cr 1.93
F: 0.6474 0.8229 0.0008  1 Cr 1.82
F: 0.8833 0.1884 0.8222  1 Cr 1.87
F: 0.5310 0.7663 0.4945  1 Pb 2.42, 2 K 2.56-2.57
F: 0.1167 0.8116 0.1778  1 Cr 1.87
F: 0.1031 0.8135 0.8112  1 Cr 1.93
F: 0.4690 0.2337 0.5055  1 Pb 2.42, 2 K 2.56-2.57
K: 0.4981 0.5066 0.7626  6 F 2.56-2.76
K: 0.5019 0.4934 0.2374  6 F 2.56-2.76
Cr: 0.0000 0.0000 0.0000  6 F 1.82-1.93
Pb: 0.0000 0.0000 0.5000  4 F 2.42-2.68



Entry 10:
Density functional theory data (GGA+U) for a relaxed K2CrPdF6 crystal.

E_tot	-4.9471	eV per atom
volume	322	Å³ per cell

abc: 6.2640 6.2120 8.2684
angles: 90.00 90.00 90.00
Closest atoms and distances in Å follow each position.
Fractional coordinates of all 20 atoms:
F: 0.7201 0.0281 0.5000  1 Cr 1.95
F: 0.2201 0.5281 0.0000  1 Cr 1.95
F: 0.2201 0.9719 0.0000  1 Cr 1.95
F: 0.0000 0.7500 0.2379  1 Cr 1.97, 1 Pd 2.17
F: 0.7799 0.5281 0.0000  1 Cr 1.95
F: 0.7799 0.9719 0.0000  1 Cr 1.95
F: 0.0000 0.7500 0.7621  1 Cr 1.97, 1 Pd 2.17
F: 0.2799 0.0281 0.5000  1 Cr 1.95
F: 0.5000 0.2500 0.7379  1 Cr 1.97, 1 Pd 2.17
F: 0.5000 0.2500 0.2621  1 Cr 1.97, 1 Pd 2.17
F: 0.2799 0.4719 0.5000  1 Cr 1.95
F: 0.7201 0.4719 0.5000  1 Cr 1.95
K: 0.5000 0.7500 0.7495  12 F 3.02-3.13
K: 0.0000 0.2500 0.7505  12 F 3.02-3.13
K: 0.5000 0.7500 0.2505  12 F 3.02-3.13
K: 0.0000 0.2500 0.2495  12 F 3.02-3.13
Cr: 0.5000 0.2500 0.5000  6 F 1.95-1.97
Cr: 0.0000 0.7500 0.0000  6 F 1.95-1.97
Pd: 0.0000 0.7500 0.5000  2 F 2.17
Pd: 0.5000 0.2500 0.0000  2 F 2.17